[1]
Here is a relaxed CsK2Rb5 crystal from Alexandria via LeMat-Bulk. Energies are from PBE.

abc: 4.879 15.577 18.757
angles: 90.00 90.00 90.00
Space group Immm (No. 71)
Inequivalent atoms, fractional coordinates:
Cs: 0.000 0.000 0.000 (multiplicity 2)
K: 0.000 0.500 0.255 (multiplicity 4)
Rb: 0.000 0.232 0.368 (multiplicity 8)
Rb: 0.000 0.500 0.000 (multiplicity 2)

Results
The calculation puts the energy above the lowest structure with this stoichiometry at 0.0 kJ per mole of atoms. As for the formation energy: 0.9 kJ/mol of atoms.

***

[2]
Here is a relaxed TmU4Ga15 crystal from Alexandria via LeMat-Bulk. Energies are from PBE.

abc: 4.250 4.250 21.379
angles: 90.00 90.00 90.00
Space group P4/mmm (No. 123)
Inequivalent atoms, fractional coordinates:
Tm: 0.000 0.000 0.000 (multiplicity 1)
U: 0.000 0.000 0.199 (multiplicity 2)
U: 0.000 0.000 0.400 (multiplicity 2)
Ga: 0.000 0.500 0.099 (multiplicity 4)
Ga: 0.000 0.500 0.299 (multiplicity 4)
Ga: 0.000 0.500 0.500 (multiplicity 2)
Ga: 0.500 0.500 0.000 (multiplicity 1)
Ga: 0.500 0.500 0.200 (multiplicity 2)
Ga: 0.500 0.500 0.399 (multiplicity 2)

Results
As for the formation energy: -28.5 kJ/mol of atoms.

***

[3]
Here is a relaxed Tb4Mg3Cd crystal from Alexandria via LeMat-Bulk. Energies are from PBE.

abc: 3.413 5.076 12.668
angles: 90.00 90.00 90.00
Space group Pmm2 (No. 25)
Inequivalent atoms, fractional coordinates:
Tb: 0.000 0.000 0.000 (multiplicity 1)
Tb: 0.000 0.500 0.336 (multiplicity 1)
Tb: 0.500 0.000 0.495 (multiplicity 1)
Tb: 0.500 0.500 0.842 (multiplicity 1)
Mg: 0.000 0.000 0.733 (multiplicity 1)
Mg: 0.000 0.500 0.602 (multiplicity 1)
Mg: 0.500 0.500 0.105 (multiplicity 1)
Cd: 0.500 0.000 0.234 (multiplicity 1)

Results
The calculation puts the energy above the lowest structure with this stoichiometry at 5.0 kJ per mole of atoms. As for the formation energy: -8.9 kJ/mol of atoms.

***

[4]
Here is a relaxed U3MnAg3Se8 crystal from Alexandria via LeMat-Bulk. Energies are from PBE.

abc: 8.2091 8.2091 19.4789
angles: 90.00 90.00 120.00
Space group R-3m (No. 166, hexagonal axes)
Inequivalent atoms, fractional coordinates:
U: 0.0000 0.5000 0.0000 (multiplicity 9)
Mn: 0.0000 0.0000 0.0000 (multiplicity 3)
Ag: 0.0000 0.5000 0.5000 (multiplicity 9)
Se: 0.0000 0.0000 0.2498 (multiplicity 6)
Se: 0.0122 0.5061 0.7452 (multiplicity 18)

Results
The formation energy (no corrections) comes out at -0.669 eV/atom.